(1)
Compound: SmDy2Y2Ho
Source: Alexandria via LeMat-Bulk
Functional: GGA-PBE
Structure: relaxed

Values from the calculation:
Energy of formation (meV per atom): 268
Magnetization (μB/f.u.): 0.00
Crystal system: orthorhombic
Density of states at the Fermi level (states/eV/f.u.): 9.23

Cell: 3.3907 6.5804 17.7197 Å, 90.00 90.00 90.00°
With the nearest neighbours (Å) after each atom.
Sites, in units of the cell vectors:
Y1 0.5000 0.2671 0.3165  4 Dy 3.35-3.44, 2 Y 3.39, 1 Ho 3.60
Y2 0.0000 0.7671 0.1835  4 Dy 3.35-3.44, 2 Y 3.39, 1 Ho 3.60
Y3 0.0000 0.2329 0.8165  4 Dy 3.35-3.44, 2 Y 3.39, 1 Ho 3.60
Y4 0.5000 0.7329 0.6835  4 Dy 3.35-3.44, 2 Y 3.39, 1 Ho 3.60
Sm1 0.5000 0.5000 0.0000  2 Sm 3.39, 4 Dy 3.47, 4 Ho 3.70
Sm2 0.0000 0.0000 0.5000  2 Sm 3.39, 4 Dy 3.47, 4 Ho 3.70
Dy1 0.5000 0.2321 0.6474  1 Ho 3.15, 4 Y 3.35-3.44, 2 Dy 3.39, 2 Sm 3.47
Dy2 0.0000 0.2679 0.1474  1 Ho 3.15, 4 Y 3.35-3.44, 2 Dy 3.39, 2 Sm 3.47
Dy3 0.5000 0.7679 0.3526  1 Ho 3.15, 4 Y 3.35-3.44, 2 Dy 3.39, 2 Sm 3.47
Dy4 0.0000 0.7321 0.8526  1 Ho 3.15, 4 Y 3.35-3.44, 2 Dy 3.39, 2 Sm 3.47
Ho1 0.0000 0.0000 0.0000  2 Dy 3.15, 2 Ho 3.39
Ho2 0.5000 0.5000 0.5000  2 Dy 3.15, 2 Ho 3.39

=====

(2)
Compound: Sm2Dy6YHo3
Source: Alexandria via LeMat-Bulk
Functional: GGA-PBE
Structure: relaxed

Values from the calculation:
Energy of formation (meV per atom): 17
Magnetization (μB/f.u.): 0.00
Crystal system: monoclinic
Density of states at the Fermi level (states/eV/f.u.): 15.50

Cell: 6.1534 6.1534 11.7825 Å, 94.97 94.97 119.95°
With the nearest neighbours (Å) after each atom.
Sites, in units of the cell vectors:
Dy1 0.0847 0.4182 0.2524  3 Ho 3.53, 6 Dy 3.55-3.56, 2 Sm 3.57-3.58, 1 Y 3.58
Dy2 0.2488 0.2488 0.7474  3 Ho 3.53, 6 Dy 3.55-3.56, 1 Y 3.58, 2 Sm 3.58
Dy3 0.4182 0.0847 0.2524  3 Ho 3.53, 6 Dy 3.55-3.56, 2 Sm 3.57-3.58, 1 Y 3.58
Dy4 0.7512 0.7512 0.2526  3 Ho 3.53, 6 Dy 3.55-3.56, 1 Y 3.58, 2 Sm 3.58
Dy5 0.9153 0.5818 0.7476  3 Ho 3.53, 6 Dy 3.55-3.56, 2 Sm 3.57-3.58, 1 Y 3.58
Dy6 0.5818 0.9153 0.7476  3 Ho 3.53, 6 Dy 3.55-3.56, 2 Sm 3.57-3.58, 1 Y 3.58
Y1 0.0000 0.0000 0.0000  6 Sm 3.55, 6 Dy 3.58
Ho1 0.5000 0.5000 0.5000  6 Dy 3.53, 6 Ho 3.55
Ho2 0.8335 0.1665 0.5000  6 Dy 3.53, 6 Ho 3.55-3.56
Ho3 0.1665 0.8335 0.5000  6 Dy 3.53, 6 Ho 3.55-3.56
Sm1 0.6667 0.3333 0.0000  3 Y 3.55, 3 Sm 3.55, 6 Dy 3.57-3.58
Sm2 0.3333 0.6667 0.0000  3 Y 3.55, 3 Sm 3.55, 6 Dy 3.57-3.58

=====

(3)
Compound: Sm2DyYHo2
Source: Alexandria via LeMat-Bulk
Functional: GGA-PBE
Structure: relaxed

Values from the calculation:
Energy of formation (meV per atom): 268
Magnetization (μB/f.u.): 0.00
Crystal system: orthorhombic
Density of states at the Fermi level (states/eV/f.u.): 9.59

Cell: 3.3871 6.5558 17.9094 Å, 90.00 90.00 90.00°
With the nearest neighbours (Å) after each atom.
Sites, in units of the cell vectors:
Ho1 0.0000 0.7239 0.8538  1 Y 3.18, 4 Sm 3.34-3.44, 2 Ho 3.39, 2 Dy 3.45
Ho2 0.5000 0.2239 0.6462  1 Y 3.18, 4 Sm 3.34-3.44, 2 Ho 3.39, 2 Dy 3.45
Ho3 0.0000 0.2761 0.1462  1 Y 3.18, 4 Sm 3.34-3.44, 2 Ho 3.39, 2 Dy 3.45
Ho4 0.5000 0.7761 0.3538  1 Y 3.18, 4 Sm 3.34-3.44, 2 Ho 3.39, 2 Dy 3.45
Dy1 0.5000 0.5000 0.0000  2 Dy 3.39, 4 Ho 3.45, 4 Y 3.69
Dy2 0.0000 0.0000 0.5000  2 Dy 3.39, 4 Ho 3.45, 4 Y 3.69
Sm1 0.5000 0.2737 0.3137  4 Ho 3.34-3.44, 2 Sm 3.39, 1 Y 3.65
Sm2 0.0000 0.7737 0.1863  4 Ho 3.34-3.44, 2 Sm 3.39, 1 Y 3.65
Sm3 0.0000 0.2263 0.8137  4 Ho 3.34-3.44, 2 Sm 3.39, 1 Y 3.65
Sm4 0.5000 0.7263 0.6863  4 Ho 3.34-3.44, 2 Sm 3.39, 1 Y 3.65
Y1 0.5000 0.5000 0.5000  2 Ho 3.18, 2 Y 3.39
Y2 0.0000 0.0000 0.0000  2 Ho 3.18, 2 Y 3.39

=====

(4)
Compound: SmDyHoZn
Source: Alexandria via LeMat-Bulk
Functional: GGA-PBE
Structure: relaxed

Values from the calculation:
Energy of formation (meV per atom): 43
Distance to the lowest polymorph of the same formula (eV/atom): 0.205
Magnetization (μB/f.u.): 0.00
Crystal system: cubic
Density of states at the Fermi level (states/eV/f.u.): 4.99

Cell: 5.3557 5.3557 5.3557 Å, 60.00 60.00 60.00°
With the nearest neighbours (Å) after each atom.
Sites, in units of the cell vectors:
Zn1 0.5000 0.5000 0.5000  4 Sm 3.28, 4 Dy 3.28
Dy1 0.7500 0.7500 0.7500  4 Ho 3.28, 4 Zn 3.28
Sm1 0.2500 0.2500 0.2500  4 Ho 3.28, 4 Zn 3.28
Ho1 0.0000 0.0000 0.0000  4 Dy 3.28, 4 Sm 3.28

=====

(5)
Compound: SmDyHoZn
Source: Alexandria via LeMat-Bulk
Functional: GGA-PBE
Structure: relaxed

Values from the calculation:
Energy of formation (meV per atom): -162
Distance to the lowest polymorph of the same formula (eV/atom): 0.000
Magnetization (μB/f.u.): 0.00
Crystal system: tetragonal
Density of states at the Fermi level (states/eV/f.u.): 4.67

Cell: 3.5732 3.5732 8.6597 Å, 90.00 90.00 90.00°
With the nearest neighbours (Å) after each atom.
Sites, in units of the cell vectors:
Sm1 0.0000 0.0000 0.0721  4 Sm 3.57, 4 Ho 3.60, 4 Dy 3.60
Zn1 0.0000 0.0000 0.5697  4 Ho 3.07, 4 Dy 3.09
Ho1 0.5000 0.5000 0.3676  4 Zn 3.07
Dy1 0.5000 0.5000 0.7753  4 Zn 3.09

=====

(6)
Compound: Sm6Dy3Ho2Zr
Source: Alexandria via LeMat-Bulk
Functional: GGA-PBE
Structure: relaxed

Values from the calculation:
Energy of formation (meV per atom): 50
Magnetization (μB/f.u.): 0.00
Crystal system: monoclinic
Density of states at the Fermi level (states/eV/f.u.): 15.09

Cell: 6.1467 6.1467 11.7172 Å, 94.99 94.99 119.92°
With the nearest neighbours (Å) after each atom.
Sites, in units of the cell vectors:
Sm1 0.4087 0.0814 0.2449  1 Zr 3.47, 6 Sm 3.48-3.59, 2 Ho 3.50, 3 Dy 3.57-3.61
Sm2 0.0814 0.4087 0.2449  1 Zr 3.47, 6 Sm 3.48-3.59, 2 Ho 3.50, 3 Dy 3.57-3.61
Sm3 0.9186 0.5913 0.7551  1 Zr 3.47, 6 Sm 3.48-3.59, 2 Ho 3.50, 3 Dy 3.57-3.61
Sm4 0.2456 0.2456 0.7557  1 Zr 3.46, 6 Sm 3.48-3.59, 2 Ho 3.50, 3 Dy 3.58-3.61
Sm5 0.5913 0.9186 0.7551  1 Zr 3.47, 6 Sm 3.48-3.59, 2 Ho 3.50, 3 Dy 3.57-3.61
Sm6 0.7544 0.7544 0.2443  1 Zr 3.46, 6 Sm 3.48-3.59, 2 Ho 3.50, 3 Dy 3.58-3.61
Ho1 0.6669 0.3331 0.0000  6 Sm 3.50, 3 Zr 3.55, 3 Ho 3.55
Ho2 0.3331 0.6669 0.0000  6 Sm 3.50, 3 Zr 3.55, 3 Ho 3.55
Zr1 0.0000 0.0000 0.0000  6 Sm 3.46-3.47, 6 Ho 3.55
Dy1 0.8337 0.1663 0.5000  6 Dy 3.54-3.56, 6 Sm 3.57-3.61
Dy2 0.1663 0.8337 0.5000  6 Dy 3.54-3.56, 6 Sm 3.57-3.61
Dy3 0.5000 0.5000 0.5000  6 Dy 3.55, 6 Sm 3.58-3.61

=====

(7)
Compound: Sm2Dy3Ho6Zr
Source: Alexandria via LeMat-Bulk
Functional: GGA-PBE
Structure: relaxed

Values from the calculation:
Energy of formation (meV per atom): 48
Magnetization (μB/f.u.): 0.00
Crystal system: monoclinic
Density of states at the Fermi level (states/eV/f.u.): 14.94

Cell: 6.0839 6.0839 11.6300 Å, 94.98 94.98 119.92°
With the nearest neighbours (Å) after each atom.
Sites, in units of the cell vectors:
Dy1 0.1664 0.8336 0.5000  6 Dy 3.50-3.52, 6 Ho 3.53-3.57
Dy2 0.8336 0.1664 0.5000  6 Dy 3.50-3.52, 6 Ho 3.53-3.57
Dy3 0.5000 0.5000 0.5000  6 Dy 3.51, 6 Ho 3.53-3.57
Zr1 0.0000 0.0000 0.0000  6 Ho 3.45, 6 Sm 3.51-3.52
Sm1 0.6668 0.3332 0.0000  6 Ho 3.49, 3 Zr 3.51-3.52, 3 Sm 3.51
Sm2 0.3332 0.6668 0.0000  6 Ho 3.49, 3 Zr 3.51-3.52, 3 Sm 3.51
Ho1 0.2441 0.2441 0.7538  6 Ho 3.44-3.55, 1 Zr 3.45, 2 Sm 3.49, 3 Dy 3.53-3.57
Ho2 0.0823 0.4088 0.2466  6 Ho 3.44-3.55, 1 Zr 3.45, 2 Sm 3.49, 3 Dy 3.53-3.57
Ho3 0.7559 0.7559 0.2462  6 Ho 3.44-3.55, 1 Zr 3.45, 2 Sm 3.49, 3 Dy 3.53-3.57
Ho4 0.9177 0.5912 0.7534  6 Ho 3.44-3.55, 1 Zr 3.45, 2 Sm 3.49, 3 Dy 3.53-3.57
Ho5 0.4088 0.0823 0.2466  6 Ho 3.44-3.55, 1 Zr 3.45, 2 Sm 3.49, 3 Dy 3.53-3.57
Ho6 0.5912 0.9177 0.7534  6 Ho 3.44-3.55, 1 Zr 3.45, 2 Sm 3.49, 3 Dy 3.53-3.57

=====

(8)
Compound: Sm2Dy6Ho3Zr
Source: Alexandria via LeMat-Bulk
Functional: GGA-PBE
Structure: relaxed

Values from the calculation:
Energy of formation (meV per atom): 49
Magnetization (μB/f.u.): 0.00
Crystal system: monoclinic
Density of states at the Fermi level (states/eV/f.u.): 14.77

Cell: 6.0906 6.0906 11.6525 Å, 94.97 94.97 119.92°
With the nearest neighbours (Å) after each atom.
Sites, in units of the cell vectors:
Sm1 0.6668 0.3332 0.0000  6 Dy 3.50, 3 Zr 3.51-3.52, 3 Sm 3.52
Sm2 0.3332 0.6668 0.0000  6 Dy 3.50, 3 Zr 3.51-3.52, 3 Sm 3.52
Ho1 0.8337 0.1663 0.5000  6 Ho 3.51-3.52, 6 Dy 3.53-3.57
Ho2 0.5000 0.5000 0.5000  6 Ho 3.52, 6 Dy 3.53-3.57
Ho3 0.1663 0.8337 0.5000  6 Ho 3.51-3.52, 6 Dy 3.53-3.57
Dy1 0.4090 0.0825 0.2471  6 Dy 3.44-3.56, 1 Zr 3.47, 2 Sm 3.50, 3 Ho 3.53-3.57
Dy2 0.7560 0.7560 0.2467  6 Dy 3.45-3.56, 1 Zr 3.46, 2 Sm 3.50, 3 Ho 3.53-3.57
Dy3 0.2440 0.2440 0.7533  6 Dy 3.45-3.56, 1 Zr 3.46, 2 Sm 3.50, 3 Ho 3.53-3.57
Dy4 0.0825 0.4090 0.2471  6 Dy 3.44-3.56, 1 Zr 3.47, 2 Sm 3.50, 3 Ho 3.53-3.57
Dy5 0.9175 0.5910 0.7529  6 Dy 3.44-3.56, 1 Zr 3.47, 2 Sm 3.50, 3 Ho 3.53-3.57
Dy6 0.5910 0.9175 0.7529  6 Dy 3.44-3.56, 1 Zr 3.47, 2 Sm 3.50, 3 Ho 3.53-3.57
Zr1 0.0000 0.0000 0.0000  6 Dy 3.46-3.47, 6 Sm 3.51-3.52

=====

Which of these has the highest density of states at the Fermi level?
Sm2Dy6YHo3